1.
First-principles (PBE) data for Li3Si2Te4 after structural relaxation, as listed in Alexandria.

Lattice parameters (Å, degrees): 8.3925 8.3925 8.6100 90.70 90.70 53.86
Sites, in units of the cell vectors:
Li  0.0012  0.9988  0.7500
Li  0.3203  0.4616  0.7956
Li  0.4616  0.3203  0.2956
Li  0.5384  0.6797  0.7044
Li  0.6797  0.5384  0.2044
Li  0.9988  0.0012  0.2500
Si  0.0617  0.3344  0.4725
Si  0.3344  0.0617  0.9725
Si  0.6656  0.9383  0.0275
Si  0.9383  0.6656  0.5275
Te  0.1207  0.3481  0.1671
Te  0.2254  0.6858  0.4948
Te  0.3142  0.7746  0.0052
Te  0.3481  0.1207  0.6671
Te  0.6519  0.8793  0.3329
Te  0.6858  0.2254  0.9948
Te  0.7746  0.3142  0.5052
Te  0.8793  0.6519  0.8329

calculated volume = 27.21 A^3/atom
M_tot = 0.0 μB per formula unit
final energy = -3.658 eV/atom
SG = C2/c (15)
formation energy without anion corrections = -3.76 eV/f.u.

2.
First-principles (PBE) data for Li4SiTe2 after structural relaxation, as listed in Alexandria.

Lattice parameters (Å, degrees): 7.9930 7.9930 7.9930 145.92 145.92 48.96
Sites, in units of the cell vectors:
Li  0.0000  0.5000  0.5000
Li  0.1821  0.1821  0.0000
Li  0.5000  0.0000  0.5000
Li  0.8179  0.8179  0.0000
Si  0.0000  0.0000  0.0000
Te  0.3721  0.3721  0.0000
Te  0.6279  0.6279  0.0000

calculated volume = 22.80 A^3/atom
M_tot = 0.0 μB per formula unit
final energy = -2.988 eV/atom
SG = I4/mmm (139)
formation energy without anion corrections = -1.55 eV/f.u.

3.
First-principles (PBE) data for Li2SiTe after structural relaxation, as listed in Alexandria.

Lattice parameters (Å, degrees): 4.7597 4.7597 4.7597 60.00 60.00 60.00
Sites, in units of the cell vectors:
Li  0.2500  0.2500  0.2500
Li  0.7500  0.7500  0.7500
Si  0.0000  0.0000  0.0000
Te  0.5000  0.5000  0.5000

calculated volume = 19.06 A^3/atom
M_tot = 0.0 μB per formula unit
final energy = -3.256 eV/atom
SG = Fm-3m (225)
polymorph energy (0 for the lowest one) = 10.2 kJ per mole of atoms
formation energy without anion corrections = -0.63 eV/f.u.

What did the first record say?
First-principles (PBE) data for Li3Si2Te4 after structural relaxation, as listed in Alexandria.

Lattice parameters (Å, degrees): 8.3925 8.3925 8.6100 90.70 90.70 53.86
Sites, in units of the cell vectors:
Li  0.0012  0.9988  0.7500
Li  0.3203  0.4616  0.7956
Li  0.4616  0.3203  0.2956
Li  0.5384  0.6797  0.7044
Li  0.6797  0.5384  0.2044
Li  0.9988  0.0012  0.2500
Si  0.0617  0.3344  0.4725
Si  0.3344  0.0617  0.9725
Si  0.6656  0.9383  0.0275
Si  0.9383  0.6656  0.5275
Te  0.1207  0.3481  0.1671
Te  0.2254  0.6858  0.4948
Te  0.3142  0.7746  0.0052
Te  0.3481  0.1207  0.6671
Te  0.6519  0.8793  0.3329
Te  0.6858  0.2254  0.9948
Te  0.7746  0.3142  0.5052
Te  0.8793  0.6519  0.8329

calculated volume = 27.21 A^3/atom
M_tot = 0.0 μB per formula unit
final energy = -3.658 eV/atom
SG = C2/c (15)
formation energy without anion corrections = -3.76 eV/f.u.

> Look up the calculated volume of the second one.

22.80 A^3/atom

> Look up the formation energy without anion corrections of the first one.

-3.76 eV/f.u.

> Which of these has the highest calculated volume?

Li3Si2Te4